[1]
PrGe2Rh4: optimized geometry, GGA-PBE.

Properties
Relative energy among the computed polymorphs (eV per atom): 0.000

Lattice parameters (Å, degrees): 7.7941 7.7941 3.9156 90.00 90.00 90.00
Closest atoms and distances in Å follow each position.
Sites, in units of the cell vectors:
Pr: 0.0000 0.0000 0.0000  6 Ge 3.02-3.17, 8 Rh 3.35
Pr: 0.5000 0.5000 0.5000  6 Ge 3.02-3.17, 8 Rh 3.35
Ge: 0.2258 0.2258 0.5000  6 Rh 2.53-2.54
Ge: 0.2742 0.7258 0.0000  6 Rh 2.53-2.54
Ge: 0.7258 0.2742 0.0000  6 Rh 2.53-2.54
Ge: 0.7742 0.7742 0.5000  6 Rh 2.53-2.54
Rh: 0.0781 0.6602 0.5000  3 Ge 2.53-2.54, 5 Rh 2.77-2.78
Rh: 0.1602 0.4219 0.0000  3 Ge 2.53-2.54, 5 Rh 2.77-2.78
Rh: 0.3398 0.9219 0.5000  3 Ge 2.53-2.54, 5 Rh 2.77-2.78
Rh: 0.4219 0.1602 0.0000  3 Ge 2.53-2.54, 5 Rh 2.77-2.78
Rh: 0.5781 0.8398 0.0000  3 Ge 2.53-2.54, 5 Rh 2.77-2.78
Rh: 0.6602 0.0781 0.5000  3 Ge 2.53-2.54, 5 Rh 2.77-2.78
Rh: 0.8398 0.5781 0.0000  3 Ge 2.53-2.54, 5 Rh 2.77-2.78
Rh: 0.9219 0.3398 0.5000  3 Ge 2.53-2.54, 5 Rh 2.77-2.78


[2]
Pr3GeRh2: optimized geometry, GGA-PBE.

Lattice parameters (Å, degrees): 12.1554 3.9953 12.4640 90.00 90.00 90.00
Closest atoms and distances in Å follow each position.
Sites, in units of the cell vectors:
Pr: 0.0626 0.2500 0.1197  5 Rh 3.03-3.31, 1 Ge 3.14
Pr: 0.1259 0.7500 0.5589  3 Ge 3.12-3.13, 5 Rh 3.13-3.46
Pr: 0.1971 0.2500 0.8145  3 Rh 2.90-2.96, 2 Ge 3.07
Pr: 0.3029 0.7500 0.3145  3 Rh 2.90-2.96, 2 Ge 3.07
Pr: 0.3741 0.2500 0.0589  3 Ge 3.12-3.13, 5 Rh 3.13-3.46
Pr: 0.4374 0.7500 0.6197  5 Rh 3.03-3.31, 1 Ge 3.14
Pr: 0.5626 0.2500 0.3803  5 Rh 3.03-3.31, 1 Ge 3.14
Pr: 0.6259 0.7500 0.9411  3 Ge 3.12-3.13, 5 Rh 3.13-3.46
Pr: 0.6971 0.2500 0.6855  3 Rh 2.90-2.96, 2 Ge 3.07
Pr: 0.8029 0.7500 0.1855  3 Rh 2.90-2.96, 2 Ge 3.07
Pr: 0.8741 0.2500 0.4411  3 Ge 3.12-3.13, 5 Rh 3.13-3.46
Pr: 0.9374 0.7500 0.8803  5 Rh 3.03-3.31, 1 Ge 3.14
Ge: 0.1188 0.2500 0.3654  3 Rh 2.49-2.77
Ge: 0.3812 0.7500 0.8654  3 Rh 2.49-2.77
Ge: 0.6188 0.2500 0.1346  3 Rh 2.49-2.77
Ge: 0.8812 0.7500 0.6346  3 Rh 2.49-2.77
Rh: 0.0136 0.7500 0.3038  2 Ge 2.49
Rh: 0.1880 0.7500 0.9833  1 Ge 2.77, 4 Pr 2.90-3.03
Rh: 0.3120 0.2500 0.4833  1 Ge 2.77, 4 Pr 2.90-3.03
Rh: 0.4864 0.2500 0.8038  2 Ge 2.49
Rh: 0.5136 0.7500 0.1962  2 Ge 2.49
Rh: 0.6880 0.7500 0.5167  1 Ge 2.77, 4 Pr 2.90-3.03
Rh: 0.8120 0.2500 0.0167  1 Ge 2.77, 4 Pr 2.90-3.03
Rh: 0.9864 0.2500 0.6962  2 Ge 2.49


[3]
Pr6GeRh3: optimized geometry, GGA-PBE.

Lattice parameters (Å, degrees): 11.7683 4.2483 12.1418 90.00 108.42 90.00
Closest atoms and distances in Å follow each position.
Sites, in units of the cell vectors:
Pr: 0.0309 0.2500 0.3898  3 Rh 2.84-2.86
Pr: 0.1060 0.2500 0.9405  4 Rh 2.88-2.94
Pr: 0.2303 0.7500 0.2695  3 Rh 2.93-3.03
Pr: 0.3018 0.7500 0.7618  3 Rh 2.82-3.02
Pr: 0.3768 0.2500 0.5384  2 Rh 3.03, 3 Ge 3.10-3.18
Pr: 0.4230 0.7500 0.0998  3 Rh 2.81-2.96
Pr: 0.5770 0.2500 0.9002  3 Rh 2.81-2.96
Pr: 0.6232 0.7500 0.4616  2 Rh 3.03, 3 Ge 3.10-3.18
Pr: 0.6982 0.2500 0.2382  3 Rh 2.82-3.02
Pr: 0.7697 0.2500 0.7305  3 Rh 2.93-3.03
Pr: 0.8940 0.7500 0.0595  4 Rh 2.88-2.94
Pr: 0.9691 0.7500 0.6102  3 Rh 2.84-2.86
Ge: 0.4528 0.2500 0.3092  8 Pr 3.10-3.29
Ge: 0.5472 0.7500 0.6908  8 Pr 3.10-3.29
Rh: 0.0583 0.2500 0.1644  6 Pr 2.86-2.94
Rh: 0.1850 0.7500 0.5014  6 Pr 2.84-3.03
Rh: 0.3462 0.2500 0.9225  6 Pr 2.81-2.96
Rh: 0.6538 0.7500 0.0775  6 Pr 2.81-2.96
Rh: 0.8150 0.2500 0.4986  6 Pr 2.84-3.03
Rh: 0.9417 0.7500 0.8356  6 Pr 2.86-2.94


[4]
PrGeRh3: optimized geometry, GGA-PBE.

Lattice parameters (Å, degrees): 6.4151 6.4151 6.4151 129.13 106.07 95.29
Closest atoms and distances in Å follow each position.
Sites, in units of the cell vectors:
Pr: 0.2582 0.0082 0.2500  5 Rh 2.84-2.97
Pr: 0.7418 0.9918 0.7500  5 Rh 2.84-2.97
Ge: 0.0000 0.5000 0.5000  6 Rh 2.48-2.58
Ge: 0.5000 0.5000 0.0000  6 Rh 2.48-2.58
Rh: 0.0703 0.3203 0.7500  2 Ge 2.48, 4 Rh 2.71
Rh: 0.2922 0.0000 0.7922  2 Ge 2.58, 4 Rh 2.71-2.76
Rh: 0.2922 0.5000 0.2922  2 Ge 2.58, 4 Rh 2.71-2.76
Rh: 0.7078 0.0000 0.2078  2 Ge 2.58, 4 Rh 2.71-2.76
Rh: 0.7078 0.5000 0.7078  2 Ge 2.58, 4 Rh 2.71-2.76
Rh: 0.9297 0.6797 0.2500  2 Ge 2.48, 4 Rh 2.71


[5]
PrGe2Rh3: optimized geometry, GGA-PBE.

Lattice parameters (Å, degrees): 7.9906 7.9906 7.9906 150.38 150.38 42.38
Closest atoms and distances in Å follow each position.
Sites, in units of the cell vectors:
Pr: 0.0000 0.0000 0.0000  4 Rh 2.89
Ge: 0.3389 0.3389 0.0000  5 Rh 2.40-2.43
Ge: 0.6611 0.6611 0.0000  5 Rh 2.40-2.43
Rh: 0.2500 0.7500 0.5000  4 Ge 2.43
Rh: 0.5000 0.5000 0.0000  2 Ge 2.40
Rh: 0.7500 0.2500 0.5000  4 Ge 2.43


[6]
PrGeRh2: optimized geometry, GGA-PBE.

Lattice parameters (Å, degrees): 4.5949 4.5949 3.9596 90.00 90.00 100.90
Closest atoms and distances in Å follow each position.
Sites, in units of the cell vectors:
Pr: 0.0000 0.0000 0.0000  4 Rh 2.92, 2 Ge 2.93
Ge: 0.5000 0.5000 0.0000  4 Rh 2.43
Rh: 0.3023 0.6977 0.5000  2 Ge 2.43
Rh: 0.6977 0.3023 0.5000  2 Ge 2.43


[7]
Pr3Ge2Rh6: optimized geometry, GGA-PBE.

Lattice parameters (Å, degrees): 8.1691 8.1691 8.1691 109.47 109.47 109.47
Closest atoms and distances in Å follow each position.
Sites, in units of the cell vectors:
Pr: 0.0000 0.2832 0.2832  4 Rh 2.91
Pr: 0.0000 0.7168 0.7168  4 Rh 2.91
Pr: 0.2832 0.0000 0.2832  4 Rh 2.91
Pr: 0.2832 0.2832 0.0000  4 Rh 2.91
Pr: 0.7168 0.0000 0.7168  4 Rh 2.91
Pr: 0.7168 0.7168 0.0000  4 Rh 2.91
Ge: 0.0000 0.0000 0.5000  6 Rh 2.67
Ge: 0.0000 0.5000 0.0000  6 Rh 2.67
Ge: 0.5000 0.0000 0.0000  6 Rh 2.67
Ge: 0.5000 0.5000 0.5000  6 Rh 2.67
Rh: 0.0000 0.3445 0.6555  2 Ge 2.67, 6 Rh 2.74-2.93, 2 Pr 2.91
Rh: 0.0000 0.6555 0.3445  2 Ge 2.67, 6 Rh 2.74-2.93, 2 Pr 2.91
Rh: 0.3110 0.6555 0.6555  2 Ge 2.67, 6 Rh 2.74-2.93, 2 Pr 2.91
Rh: 0.3445 0.0000 0.6555  2 Ge 2.67, 6 Rh 2.74-2.93, 2 Pr 2.91
Rh: 0.3445 0.3445 0.6890  2 Ge 2.67, 6 Rh 2.74-2.93, 2 Pr 2.91
Rh: 0.3445 0.6555 0.0000  2 Ge 2.67, 6 Rh 2.74-2.93, 2 Pr 2.91
Rh: 0.3445 0.6890 0.3445  2 Ge 2.67, 6 Rh 2.74-2.93, 2 Pr 2.91
Rh: 0.6555 0.0000 0.3445  2 Ge 2.67, 6 Rh 2.74-2.93, 2 Pr 2.91
Rh: 0.6555 0.3110 0.6555  2 Ge 2.67, 6 Rh 2.74-2.93, 2 Pr 2.91
Rh: 0.6555 0.3445 0.0000  2 Ge 2.67, 6 Rh 2.74-2.93, 2 Pr 2.91
Rh: 0.6555 0.6555 0.3110  2 Ge 2.67, 6 Rh 2.74-2.93, 2 Pr 2.91
Rh: 0.6890 0.3445 0.3445  2 Ge 2.67, 6 Rh 2.74-2.93, 2 Pr 2.91


[8]
Pr2GeRh: optimized geometry, GGA-PBE.

Lattice parameters (Å, degrees): 5.9709 4.3355 8.2361 90.00 109.52 90.00
Closest atoms and distances in Å follow each position.
Sites, in units of the cell vectors:
Pr: 0.1898 0.2500 0.4154  3 Rh 3.06-3.14, 4 Ge 3.13-3.14
Pr: 0.2808 0.7500 0.0607  4 Rh 3.04-3.23, 3 Ge 3.13-3.18
Pr: 0.7192 0.2500 0.9393  4 Rh 3.04-3.23, 3 Ge 3.13-3.18
Pr: 0.8102 0.7500 0.5846  3 Rh 3.06-3.14, 4 Ge 3.13-3.14
Ge: 0.3664 0.7500 0.7058  2 Rh 2.71
Ge: 0.6336 0.2500 0.2942  2 Rh 2.71
Rh: 0.1527 0.2500 0.7865  2 Ge 2.71
Rh: 0.8473 0.7500 0.2135  2 Ge 2.71


[9]
PrGeRh: optimized geometry, GGA-PBE.

Lattice parameters (Å, degrees): 7.3871 4.5222 7.3333 90.00 90.00 90.00
Closest atoms and distances in Å follow each position.
Sites, in units of the cell vectors:
Pr: 0.0169 0.2500 0.1819  4 Rh 3.05-3.11, 6 Ge 3.14-3.39
Pr: 0.4831 0.7500 0.6819  4 Rh 3.05-3.11, 6 Ge 3.14-3.39
Pr: 0.5169 0.2500 0.3181  4 Rh 3.05-3.11, 6 Ge 3.14-3.39
Pr: 0.9831 0.7500 0.8181  4 Rh 3.05-3.11, 6 Ge 3.14-3.39
Ge: 0.1978 0.2500 0.6070  4 Rh 2.54-2.64
Ge: 0.3022 0.7500 0.1070  4 Rh 2.54-2.64
Ge: 0.6978 0.2500 0.8930  4 Rh 2.54-2.64
Ge: 0.8022 0.7500 0.3930  4 Rh 2.54-2.64
Rh: 0.1447 0.7500 0.4288  4 Ge 2.54-2.64
Rh: 0.3553 0.2500 0.9288  4 Ge 2.54-2.64
Rh: 0.6447 0.7500 0.0712  4 Ge 2.54-2.64
Rh: 0.8553 0.2500 0.5712  4 Ge 2.54-2.64


[10]
PrGe3Rh3: optimized geometry, GGA-PBE.

Properties
Relative energy among the computed polymorphs (eV per atom): 0.000

Lattice parameters (Å, degrees): 7.8422 7.8422 7.8422 90.00 90.00 90.00
Closest atoms and distances in Å follow each position.
Sites, in units of the cell vectors:
Pr: 0.0576 0.4424 0.5576  6 Ge 2.92-3.05, 4 Rh 2.95-3.26
Pr: 0.4424 0.5576 0.0576  6 Ge 2.92-3.05, 4 Rh 2.95-3.26
Pr: 0.5576 0.0576 0.4424  6 Ge 2.92-3.05, 4 Rh 2.95-3.26
Pr: 0.9424 0.9424 0.9424  6 Ge 2.92-3.05, 4 Rh 2.95-3.26
Ge: 0.0185 0.3057 0.9202  5 Rh 2.51-2.76, 2 Ge 2.76
Ge: 0.0798 0.5185 0.1943  5 Rh 2.51-2.76, 2 Ge 2.76
Ge: 0.1943 0.0798 0.5185  5 Rh 2.51-2.76, 2 Ge 2.76
Ge: 0.3057 0.9202 0.0185  5 Rh 2.51-2.76, 2 Ge 2.76
Ge: 0.4202 0.4815 0.6943  5 Rh 2.51-2.76, 2 Ge 2.76
Ge: 0.4815 0.6943 0.4202  5 Rh 2.51-2.76, 2 Ge 2.76
Ge: 0.5185 0.1943 0.0798  5 Rh 2.51-2.76, 2 Ge 2.76
Ge: 0.5798 0.9815 0.8057  5 Rh 2.51-2.76, 2 Ge 2.76
Ge: 0.6943 0.4202 0.4815  5 Rh 2.51-2.76, 2 Ge 2.76
Ge: 0.8057 0.5798 0.9815  5 Rh 2.51-2.76, 2 Ge 2.76
Ge: 0.9202 0.0185 0.3057  5 Rh 2.51-2.76, 2 Ge 2.76
Ge: 0.9815 0.8057 0.5798  5 Rh 2.51-2.76, 2 Ge 2.76
Rh: 0.1111 0.6111 0.8889  3 Ge 2.51, 1 Rh 2.81
Rh: 0.1822 0.1822 0.1822  6 Ge 2.61-2.76, 1 Rh 2.81
Rh: 0.1919 0.8081 0.3081  6 Ge 2.59-2.69
Rh: 0.3081 0.1919 0.8081  6 Ge 2.59-2.69
Rh: 0.3178 0.8178 0.6822  6 Ge 2.61-2.76, 1 Rh 2.81
Rh: 0.3889 0.3889 0.3889  3 Ge 2.51, 1 Rh 2.81
Rh: 0.6111 0.8889 0.1111  3 Ge 2.51, 1 Rh 2.81
Rh: 0.6822 0.3178 0.8178  6 Ge 2.61-2.76, 1 Rh 2.81
Rh: 0.6919 0.6919 0.6919  6 Ge 2.59-2.69
Rh: 0.8081 0.3081 0.1919  6 Ge 2.59-2.69
Rh: 0.8178 0.6822 0.3178  6 Ge 2.61-2.76, 1 Rh 2.81
Rh: 0.8889 0.1111 0.6111  3 Ge 2.51, 1 Rh 2.81


[11]
PrGe2Rh3: optimized geometry, GGA-PBE.

Lattice parameters (Å, degrees): 8.4960 8.4960 9.9353 107.09 107.09 27.79
Closest atoms and distances in Å follow each position.
Sites, in units of the cell vectors:
Pr: 0.0000 0.0000 0.0000  6 Ge 3.07-3.20, 6 Rh 3.11-3.17
Pr: 0.1620 0.1620 0.7030  6 Ge 3.15-3.19, 9 Rh 3.21-3.48
Pr: 0.8380 0.8380 0.2970  6 Ge 3.15-3.19, 9 Rh 3.21-3.48
Ge: 0.1947 0.1947 0.1265  6 Rh 2.50-2.59
Ge: 0.3610 0.3610 0.5480  7 Rh 2.42-2.64
Ge: 0.4641 0.4641 0.2236  5 Rh 2.48-2.68
Ge: 0.5359 0.5359 0.7764  5 Rh 2.48-2.68
Ge: 0.6390 0.6390 0.4520  7 Rh 2.42-2.64
Ge: 0.8053 0.8053 0.8735  6 Rh 2.50-2.59
Rh: 0.0425 0.0425 0.3335  4 Ge 2.48-2.64, 1 Rh 2.74
Rh: 0.2158 0.2158 0.3928  4 Ge 2.42-2.56
Rh: 0.3222 0.3222 0.0395  4 Ge 2.50-2.59
Rh: 0.3787 0.3787 0.8003  4 Ge 2.43-2.68
Rh: 0.5000 0.5000 0.5000  4 Ge 2.48-2.63
Rh: 0.6213 0.6213 0.1997  4 Ge 2.43-2.68
Rh: 0.6778 0.6778 0.9605  4 Ge 2.50-2.59
Rh: 0.7842 0.7842 0.6072  4 Ge 2.42-2.56
Rh: 0.9575 0.9575 0.6665  4 Ge 2.48-2.64, 1 Rh 2.74


[12]
PrGe3Rh3: optimized geometry, GGA-PBE.

Properties
Relative energy among the computed polymorphs (eV per atom): 0.230

Lattice parameters (Å, degrees): 6.7075 6.7075 6.7075 90.00 90.00 90.00
Closest atoms and distances in Å follow each position.
Sites, in units of the cell vectors:
Pr: 0.0000 0.0000 0.0000  12 Ge 3.75, 12 Rh 3.75
Pr: 0.5000 0.5000 0.5000  12 Ge 3.75, 12 Rh 3.75
Ge: 0.0000 0.2500 0.5000  4 Rh 2.37
Ge: 0.0000 0.7500 0.5000  4 Rh 2.37
Ge: 0.2500 0.5000 0.0000  4 Rh 2.37
Ge: 0.5000 0.0000 0.2500  4 Rh 2.37
Ge: 0.5000 0.0000 0.7500  4 Rh 2.37
Ge: 0.7500 0.5000 0.0000  4 Rh 2.37
Rh: 0.0000 0.5000 0.2500  4 Ge 2.37
Rh: 0.0000 0.5000 0.7500  4 Ge 2.37
Rh: 0.2500 0.0000 0.5000  4 Ge 2.37
Rh: 0.5000 0.2500 0.0000  4 Ge 2.37
Rh: 0.5000 0.7500 0.0000  4 Ge 2.37
Rh: 0.7500 0.0000 0.5000  4 Ge 2.37


no.,formation enthalpy at 0 K (eV per atom),DOS at the Fermi energy (states/eV/cell),uncorrected energy (Ry/atom)
1,-0.68,10.26,-0.5062
2,-0.67,18.33,-0.4614
3,-0.56,11.53,-0.4483
4,-0.55,6.50,-0.5030
5,-0.60,2.34,-0.4862
6,-0.31,3.54,-0.4652
7,-0.65,17.54,-0.4998
8,-0.74,6.51,-0.4500
9,-0.88,6.52,-0.4747
10,-0.59,9.82,-0.4707
11,-0.78,9.84,-0.4994
12,-0.36,12.50,-0.4537